This record from Alexandria describes a geometry-optimized YScAlS2 structure. The functional is PBE-GGA.

abc: 5.110 5.110 5.473
angles: 90.00 90.00 90.00
Element x y z (fractional)
Y  0.000  0.000  0.000
Sc  0.500  0.500  0.500
Al  0.000  0.000  0.500
S  0.000  0.500  0.000
S  0.500  0.000  0.000

Energy relative to the elements, uncorrected in eV/f.u.: -0.70
Total magnetization in μB per formula unit: 0.86
DOS(E_F) in states/eV/f.u.: 3.7

---

This record from Alexandria describes a geometry-optimized YSc2AlS6 structure. The functional is PBE-GGA.

abc: 6.951 6.951 6.951
angles: 55.73 55.73 55.73
Element x y z (fractional)
Y  0.000  0.000  0.000
Sc  0.297  0.297  0.297
Sc  0.802  0.802  0.802
Al  0.492  0.492  0.492
S  0.102  0.683  0.419
S  0.223  0.580  0.880
S  0.419  0.102  0.683
S  0.580  0.880  0.223
S  0.683  0.419  0.102
S  0.880  0.223  0.580

Energy relative to the elements, uncorrected in eV/f.u.: -16.68
Total magnetization in μB per formula unit: 0.00
DOS(E_F) in states/eV/f.u.: 0.0

---

This record from Alexandria describes a geometry-optimized AlSeS2 structure. The functional is PBE-GGA.

abc: 4.567 4.567 4.567
angles: 60.00 60.00 60.00
Element x y z (fractional)
Al  0.000  0.000  0.000
Se  0.500  0.500  0.500
S  0.250  0.250  0.250
S  0.750  0.750  0.750

Energy relative to the elements, uncorrected in eV/f.u.: 1.53
Total magnetization in μB per formula unit: 0.00
Offset from the most stable computed form in kJ/mol of formula units: 341.4
DOS(E_F) in states/eV/f.u.: 2.0

---

This record from Alexandria describes a geometry-optimized AlSeS4 structure. The functional is PBE-GGA.

abc: 3.576 6.118 6.259
angles: 109.96 105.89 98.91
Element x y z (fractional)
Al  0.000  0.000  0.000
Se  0.001  0.502  0.502
S  0.206  0.459  0.119
S  0.335  0.936  0.712
S  0.661  0.061  0.284
S  0.795  0.536  0.875

Energy relative to the elements, uncorrected in eV/f.u.: -1.17
Total magnetization in μB per formula unit: 0.00
DOS(E_F) in states/eV/f.u.: 3.0

---

This record from Alexandria describes a geometry-optimized AlSeS2 structure. The functional is PBE-GGA.

abc: 7.810 7.810 7.810
angles: 25.95 25.95 25.95
Element x y z (fractional)
Al  0.000  0.000  0.000
Se  0.500  0.500  0.500
S  0.391  0.391  0.391
S  0.609  0.609  0.609

Energy relative to the elements, uncorrected in eV/f.u.: -2.01
Total magnetization in μB per formula unit: 0.00
Offset from the most stable computed form in kJ/mol of formula units: 0.0
DOS(E_F) in states/eV/f.u.: 1.5

---

This record from Alexandria describes a geometry-optimized AlSe2S6 structure. The functional is PBE-GGA.

abc: 3.898 5.795 10.751
angles: 83.50 88.39 84.06
Element x y z (fractional)
Al  0.000  0.000  0.000
Se  0.475  0.082  0.156
Se  0.525  0.918  0.844
S  0.155  0.383  0.954
S  0.345  0.218  0.685
S  0.389  0.855  0.469
S  0.611  0.145  0.531
S  0.655  0.782  0.315
S  0.845  0.617  0.046

Energy relative to the elements, uncorrected in eV/f.u.: -0.88
Total magnetization in μB per formula unit: 0.00
DOS(E_F) in states/eV/f.u.: 4.1

---

This record from Alexandria describes a geometry-optimized AlSe2S structure. The functional is PBE-GGA.

abc: 7.986 7.986 7.986
angles: 26.90 26.90 26.90
Element x y z (fractional)
Al  0.000  0.000  0.000
Se  0.395  0.395  0.395
Se  0.605  0.605  0.605
S  0.500  0.500  0.500

Energy relative to the elements, uncorrected in eV/f.u.: -0.84
Total magnetization in μB per formula unit: 0.00
Offset from the most stable computed form in kJ/mol of formula units: 0.0
DOS(E_F) in states/eV/f.u.: 2.2

---

This record from Alexandria describes a geometry-optimized Al2SeS2 structure. The functional is PBE-GGA.

abc: 11.321 11.321 6.106
angles: 95.08 95.08 18.23
Element x y z (fractional)
Al  0.124  0.124  0.406
Al  0.344  0.344  0.996
Al  0.656  0.656  0.004
Al  0.876  0.876  0.594
Se  0.216  0.216  0.225
Se  0.784  0.784  0.775
S  0.120  0.120  0.771
S  0.424  0.424  0.759
S  0.576  0.576  0.241
S  0.880  0.880  0.229

Energy relative to the elements, uncorrected in eV/f.u.: -4.81
Total magnetization in μB per formula unit: 0.00
DOS(E_F) in states/eV/f.u.: 0.0

---

This record from Alexandria describes a geometry-optimized AlSeS2 structure. The functional is PBE-GGA.

abc: 6.280 6.280 6.280
angles: 118.22 118.22 93.11
Element x y z (fractional)
Al  0.000  0.000  0.000
Al  0.750  0.250  0.500
Se  0.250  0.750  0.500
Se  0.500  0.500  0.000
S  0.064  0.625  0.939
S  0.375  0.314  0.439
S  0.686  0.125  0.061
S  0.875  0.936  0.561

Energy relative to the elements, uncorrected in eV/f.u.: -0.35
Total magnetization in μB per formula unit: 1.00
Offset from the most stable computed form in kJ/mol of formula units: 160.0
DOS(E_F) in states/eV/f.u.: 2.9

---

This record from Alexandria describes a geometry-optimized AlSeS3 structure. The functional is PBE-GGA.

abc: 4.588 4.588 4.588
angles: 90.00 90.00 90.00
Element x y z (fractional)
Al  0.000  0.000  0.000
Se  0.500  0.500  0.500
S  0.000  0.000  0.500
S  0.000  0.500  0.000
S  0.500  0.000  0.000

Energy relative to the elements, uncorrected in eV/f.u.: 1.44
Total magnetization in μB per formula unit: 0.00
Offset from the most stable computed form in kJ/mol of formula units: 0.0
DOS(E_F) in states/eV/f.u.: 3.5

---

This record from Alexandria describes a geometry-optimized AlSe2S structure. The functional is PBE-GGA.

abc: 6.485 6.485 6.485
angles: 118.65 118.65 92.36
Element x y z (fractional)
Al  0.000  0.000  0.000
Al  0.750  0.250  0.500
Se  0.091  0.625  0.966
Se  0.375  0.341  0.466
Se  0.659  0.125  0.034
Se  0.875  0.909  0.534
S  0.250  0.750  0.500
S  0.500  0.500  0.000

Energy relative to the elements, uncorrected in eV/f.u.: 0.26
Total magnetization in μB per formula unit: 0.00
Offset from the most stable computed form in kJ/mol of formula units: 105.7
DOS(E_F) in states/eV/f.u.: 4.4

---

This record from Alexandria describes a geometry-optimized Al3Se2S2 structure. The functional is PBE-GGA.

abc: 3.603 6.254 6.361
angles: 98.41 90.09 106.70
Element x y z (fractional)
Al  0.000  0.000  0.000
Al  0.257  0.515  0.755
Al  0.743  0.485  0.245
Se  0.127  0.252  0.375
Se  0.873  0.748  0.625
S  0.371  0.741  0.107
S  0.629  0.259  0.893

Energy relative to the elements, uncorrected in eV/f.u.: -5.51
Total magnetization in μB per formula unit: 0.00
DOS(E_F) in states/eV/f.u.: 0.8